1.
Compound: CaSmAg
Source: the Alexandria database
Functional: GGA-PBE
Structure: relaxed

```
data_CaSmAg
_chemical_formula_sum 'Ca1 Sm1 Ag1'
_cell_length_a 5.2350
_cell_length_b 5.2350
_cell_length_c 3.6187
_cell_angle_alpha 90.00
_cell_angle_beta 90.00
_cell_angle_gamma 120.00
_space_group_name_H-M_alt 'P 3 m 1'
_space_group_IT_number 156
_space_group_name_Hall 'P 3 -2"'
loop_
_atom_site_label
_atom_site_fract_x
_atom_site_fract_y
_atom_site_fract_z
Ca1 0.0000 0.0000 0.0000
Sm1 0.3333 0.6667 0.4418
Ag1 0.6667 0.3333 0.7557
```

Formation enthalpy at 0 K   0.012 eV per atom
N(E_F)   0.875 states/eV/atom
Density   5768 kg/m3
Energy relative to the lowest polymorph listed for this composition   162 meV/atom

=====

2.
Compound: SbRu2
Source: the Alexandria database
Functional: GGA-PBE
Structure: relaxed

```
data_SbRu2
_chemical_formula_sum 'Sb4 Ru8'
_cell_length_a 2.976
_cell_length_b 15.301
_cell_length_c 4.307
_cell_angle_alpha 90.00
_cell_angle_beta 90.00
_cell_angle_gamma 90.00
_space_group_name_H-M_alt 'C m c m'
_space_group_IT_number 63
_space_group_name_Hall '-C 2c 2'
loop_
_atom_site_label
_atom_site_fract_x
_atom_site_fract_y
_atom_site_fract_z
Sb1 0.000 0.109 0.250
Ru1 0.000 0.220 0.750
Ru2 0.000 0.434 0.250
```

Raw formation energy   0.271 eV per atom
N(E_F)   1.071 states/eV/atom
Density   10968 kg/m3

=====

3.
Compound: Sm2Dy8Ho
Source: the Alexandria database
Functional: GGA-PBE
Structure: relaxed

```
data_Sm2Dy8Ho
_chemical_formula_sum 'Sm4 Dy16 Ho2'
_cell_length_a 18.125
_cell_length_b 5.023
_cell_length_c 7.955
_cell_angle_alpha 90.00
_cell_angle_beta 105.27
_cell_angle_gamma 90.00
_space_group_name_H-M_alt 'C 1 2/m 1'
_space_group_IT_number 12
_space_group_name_Hall '-C 2y'
loop_
_atom_site_label
_atom_site_fract_x
_atom_site_fract_y
_atom_site_fract_z
Sm1 0.227 0.000 0.137
Dy1 0.045 0.000 0.228
Dy2 0.090 0.500 0.954
Dy3 0.135 0.000 0.679
Dy4 0.181 0.500 0.409
Ho1 0.000 0.500 0.500
```

Formation enthalpy at 0 K   0.018 eV per atom
N(E_F)   1.342 states/eV/atom
Density   8393 kg/m3
Energy relative to the lowest polymorph listed for this composition   0 meV/atom

=====

4.
Compound: TbHoErSc
Source: the Alexandria database
Functional: GGA-PBE
Structure: relaxed

```
data_TbHoErSc
_chemical_formula_sum 'Tb2 Ho2 Er2 Sc2'
_cell_length_a 3.764
_cell_length_b 5.552
_cell_length_c 11.380
_cell_angle_alpha 90.00
_cell_angle_beta 90.00
_cell_angle_gamma 90.00
_space_group_name_H-M_alt 'I m m 2'
_space_group_IT_number 44
_space_group_name_Hall 'I 2 -2'
loop_
_atom_site_label
_atom_site_fract_x
_atom_site_fract_y
_atom_site_fract_z
Tb1 0.000 0.000 0.000
Ho1 0.000 0.500 0.227
Er1 0.000 0.000 0.460
Sc1 0.000 0.500 0.732
```

Formation enthalpy at 0 K   0.109 eV per atom
N(E_F)   1.890 states/eV/atom
Density   7487 kg/m3
Energy relative to the lowest polymorph listed for this composition   0 meV/atom

=====

5.
Compound: Hf3NbAs2
Source: the Alexandria database
Functional: GGA-PBE
Structure: relaxed

```
data_Hf3NbAs2
_chemical_formula_sum 'Hf12 Nb4 As8'
_cell_length_a 5.693
_cell_length_b 12.227
_cell_length_c 6.991
_cell_angle_alpha 90.00
_cell_angle_beta 90.00
_cell_angle_gamma 90.00
_space_group_name_H-M_alt 'I b a m'
_space_group_IT_number 72
_space_group_name_Hall '-I 2 2c'
loop_
_atom_site_label
_atom_site_fract_x
_atom_site_fract_y
_atom_site_fract_z
Hf1 0.000 0.000 0.250
Hf2 0.000 0.318 0.250
Nb1 0.000 0.500 0.000
As1 0.140 0.155 0.000
```

Formation enthalpy at 0 K   -0.460 eV per atom
N(E_F)   0.856 states/eV/atom
Density   10623 kg/m3

=====

6.
Compound: PmSmHoIn
Source: the Alexandria database
Functional: GGA-PBE
Structure: relaxed

```
data_PmSmHoIn
_chemical_formula_sum 'Pm2 Sm2 Ho2 In2'
_cell_length_a 4.835
_cell_length_b 4.835
_cell_length_c 10.078
_cell_angle_alpha 90.00
_cell_angle_beta 90.00
_cell_angle_gamma 90.00
_space_group_name_H-M_alt 'I -4 m 2'
_space_group_IT_number 119
_space_group_name_Hall 'I -4 -2'
loop_
_atom_site_label
_atom_site_fract_x
_atom_site_fract_y
_atom_site_fract_z
Pm1 0.000 0.000 0.000
Sm1 0.000 0.500 0.250
Ho1 0.000 0.500 0.750
In1 0.000 0.000 0.500
```

Formation enthalpy at 0 K   -0.233 eV per atom
N(E_F)   1.440 states/eV/atom
Density   8109 kg/m3
Energy relative to the lowest polymorph listed for this composition   0 meV/atom

=====

7.
Compound: Nb2ZnGaSe
Source: the Alexandria database
Functional: GGA-PBE
Structure: relaxed

```
data_Nb2ZnGaSe
_chemical_formula_sum 'Nb2 Zn1 Ga1 Se1'
_cell_length_a 4.935
_cell_length_b 4.935
_cell_length_c 4.304
_cell_angle_alpha 90.00
_cell_angle_beta 90.00
_cell_angle_gamma 90.00
_space_group_name_H-M_alt 'P 4/m m m'
_space_group_IT_number 123
_space_group_name_Hall '-P 4 2'
loop_
_atom_site_label
_atom_site_fract_x
_atom_site_fract_y
_atom_site_fract_z
Nb1 0.000 0.500 0.000
Zn1 0.000 0.000 0.500
Ga1 0.000 0.000 0.000
Se1 0.500 0.500 0.500
```

Raw formation energy   0.886 eV per atom
N(E_F)   1.651 states/eV/atom
Density   6334 kg/m3

=====

8.
Compound: Mn2In3I8
Source: the Alexandria database
Functional: GGA-PBE
Structure: relaxed

```
data_Mn2In3I8
_chemical_formula_sum 'Mn4 In6 I16'
_cell_length_a 15.565
_cell_length_b 9.731
_cell_length_c 7.902
_cell_angle_alpha 90.00
_cell_angle_beta 110.58
_cell_angle_gamma 90.00
_space_group_name_H-M_alt 'C 1 2/m 1'
_space_group_IT_number 12
_space_group_name_Hall '-C 2y'
loop_
_atom_site_label
_atom_site_fract_x
_atom_site_fract_y
_atom_site_fract_z
Mn1 0.182 0.000 0.131
In1 0.000 0.226 0.500
In2 0.000 0.500 0.000
I1 0.130 0.230 0.250
I2 0.132 0.500 0.722
I3 0.142 0.000 0.771
```

Raw formation energy   -0.409 eV per atom
N(E_F)   0.324 states/eV/atom
Density   4356 kg/m3

=====

9.
Compound: Li5InAg
Source: the Alexandria database
Functional: GGA-PBE
Structure: relaxed

```
data_Li5InAg
_chemical_formula_sum 'Li5 In1 Ag1'
_cell_length_a 4.262
_cell_length_b 4.262
_cell_length_c 7.504
_cell_angle_alpha 90.00
_cell_angle_beta 90.00
_cell_angle_gamma 90.00
_space_group_name_H-M_alt 'P 4/m m m'
_space_group_IT_number 123
_space_group_name_Hall '-P 4 2'
loop_
_atom_site_label
_atom_site_fract_x
_atom_site_fract_y
_atom_site_fract_z
Li1 0.000 0.000 0.000
Li2 0.000 0.500 0.278
In1 0.500 0.500 0.000
Ag1 0.000 0.000 0.500
```

Formation enthalpy at 0 K   -0.135 eV per atom
N(E_F)   0.437 states/eV/atom
Density   3136 kg/m3
Energy relative to the lowest polymorph listed for this composition   6 meV/atom

=====

10.
Compound: AlRuSeN2
Source: the Alexandria database
Functional: GGA-PBE
Structure: relaxed

```
data_AlRuSeN2
_chemical_formula_sum 'Al1 Ru1 Se1 N2'
_cell_length_a 3.795
_cell_length_b 3.795
_cell_length_c 4.943
_cell_angle_alpha 90.00
_cell_angle_beta 90.00
_cell_angle_gamma 90.00
_space_group_name_H-M_alt 'P 4/m m m'
_space_group_IT_number 123
_space_group_name_Hall '-P 4 2'
loop_
_atom_site_label
_atom_site_fract_x
_atom_site_fract_y
_atom_site_fract_z
Al1 0.000 0.000 0.000
Ru1 0.500 0.500 0.000
Se1 0.500 0.500 0.500
N1 0.000 0.500 0.500
```

Raw formation energy   1.662 eV per atom
N(E_F)   0.733 states/eV/atom
Density   5482 kg/m3
Energy relative to the lowest polymorph listed for this composition   1036 meV/atom

=====

11.
Compound: RbNa2SrAg
Source: the Alexandria database
Functional: GGA-PBE
Structure: relaxed

```
data_RbNa2SrAg
_chemical_formula_sum 'Rb1 Na2 Sr1 Ag1'
_cell_length_a 6.113
_cell_length_b 6.113
_cell_length_c 6.193
_cell_angle_alpha 90.00
_cell_angle_beta 90.00
_cell_angle_gamma 90.00
_space_group_name_H-M_alt 'P 4/m m m'
_space_group_IT_number 123
_space_group_name_Hall '-P 4 2'
loop_
_atom_site_label
_atom_site_fract_x
_atom_site_fract_y
_atom_site_fract_z
Rb1 0.000 0.000 0.000
Na1 0.000 0.500 0.500
Sr1 0.500 0.500 0.000
Ag1 0.500 0.500 0.500
```

Formation enthalpy at 0 K   0.047 eV per atom
N(E_F)   0.683 states/eV/atom
Density   2346 kg/m3

=====

12.
Compound: LaPm6YHo2
Source: the Alexandria database
Functional: GGA-PBE
Structure: relaxed

```
data_LaPm6YHo2
_chemical_formula_sum 'La4 Pm24 Y4 Ho8'
_cell_length_a 9.241
_cell_length_b 15.337
_cell_length_c 9.760
_cell_angle_alpha 90.00
_cell_angle_beta 97.92
_cell_angle_gamma 90.00
_space_group_name_H-M_alt 'C 1 2/c 1'
_space_group_IT_number 15
_space_group_name_Hall '-C 2yc'
loop_
_atom_site_label
_atom_site_fract_x
_atom_site_fract_y
_atom_site_fract_z
La1 0.000 0.094 0.250
Pm1 0.064 0.322 0.445
Pm2 0.100 0.107 0.621
Pm3 0.205 0.273 0.818
Y1 0.000 0.471 0.750
Ho1 0.244 0.450 0.045
```

Formation enthalpy at 0 K   0.115 eV per atom
N(E_F)   1.497 states/eV/atom
Density   6921 kg/m3